Record 1
{"formula": "ErSe2", "functional": "PBE-GGA", "state": "optimized geometry", "lattice_angstrom": [[4.3376, 2.5043, 7.0833], [-4.3376, 2.5043, 7.0833], [0.0000, -5.0086, 7.0833]], "species": ["Er", "Se", "Se", "Se", "Se", "Er"], "fractional_positions": [[0.5000, 0.5000, 0.5000], [0.8750, 0.3750, 0.3750], [0.3750, 0.3750, 0.3750], [0.3750, 0.3750, 0.8750], [0.3750, 0.8750, 0.3750], [0.2500, 0.2500, 0.2500]], "magnetic_moment_mub_per_fu": 1.00, "density_g_cm3": 2.339, "e_tot_ev_per_cell": -28.1}

Record 2
{"formula": "ErSe2", "functional": "PBE-GGA", "state": "optimized geometry", "lattice_angstrom": [[-0.6203, -5.1034, -2.7252], [-5.2827, -1.7906, -1.6560], [-1.3890, -0.1317, -5.6488]], "species": ["Se", "Se", "Er", "Er", "Se", "Se"], "fractional_positions": [[0.6250, 0.6250, 0.6250], [0.6250, 0.6250, 0.1250], [0.0000, 0.0000, 0.0000], [0.2500, 0.2500, 0.2500], [0.6250, 0.1250, 0.6250], [0.1250, 0.6250, 0.6250]], "magnetic_moment_mub_per_fu": 0.17, "density_g_cm3": 7.753, "e_tot_ev_per_cell": -23.7}

Record 3
{"formula": "Er8Se", "functional": "PBE-GGA", "state": "optimized geometry", "lattice_angstrom": [[-1.2377, -7.8513, -4.2044], [8.2033, 2.3281, 2.8527], [-0.6685, -1.6415, 3.2620]], "species": ["Er", "Er", "Er", "Se", "Er", "Er", "Er", "Er", "Er"], "fractional_positions": [[0.7422, 0.7422, 0.5000], [0.6073, 0.0000, 0.0000], [0.6667, 0.3333, 0.5000], [0.0000, 0.0000, 0.0000], [0.3333, 0.6667, 0.5000], [0.2578, 0.0000, 0.5000], [0.0000, 0.6073, 0.0000], [0.0000, 0.2578, 0.5000], [0.3927, 0.3927, 0.0000]], "magnetic_moment_mub_per_fu": 0.03, "density_g_cm3": 9.052, "e_tot_ev_per_cell": -43.1}

Record 4
{"formula": "ErSe2", "functional": "PBE-GGA", "state": "optimized geometry", "lattice_angstrom": [[2.1830, -4.2098, -0.7608], [-2.4766, -3.6975, -1.8058], [0.8423, -1.4920, -4.4867]], "species": ["Er", "Se", "Se"], "fractional_positions": [[0.0000, 0.0000, 0.0000], [0.2500, 0.2500, 0.2500], [0.7500, 0.7500, 0.7500]], "magnetic_moment_mub_per_fu": 0.00, "density_g_cm3": 6.893, "e_tot_ev_per_cell": -15.4}